Record 1
First-principles (PBE) data for an optimized crystal structure of Lu4BiSbC2, as listed in OQMD.

It has space group P-6m2 (No. 187), with a = 3.5822 Å, b = 3.5822 Å, c = 15.0228 Å, α = 90.00°, β = 90.00° and γ = 120.00°. The inequivalent atoms are Lu at (0.0000, 0.0000, 0.1611), Lu at (0.3333, 0.6667, 0.3300), Bi at (0.0000, 0.0000, 0.5000), Sb at (0.3333, 0.6667, 0.0000) and C at (0.6667, 0.3333, 0.2472).

The value obtained for the final energy is -0.2299 hartree per atom.

***

Record 2
First-principles (PBE) data for an optimized crystal structure of PuBi, as listed in OQMD.

It has space group F-43m (No. 216), with a = 7.011 Å, b = 7.011 Å, c = 7.011 Å, α = 90.00°, β = 90.00° and γ = 90.00°. The inequivalent atoms are Pu at (0.000, 0.000, 0.000) and Bi at (0.250, 0.250, 0.250).

The value obtained for the final energy is -0.3259 hartree per atom.

***

Record 3
First-principles (PBE) data for an optimized crystal structure of CsNaCu, as listed in OQMD.

It has space group F-43m (No. 216), with a = 8.275 Å, b = 8.275 Å, c = 8.275 Å, α = 90.00°, β = 90.00° and γ = 90.00°. The inequivalent atoms are Cs at (0.000, 0.000, 0.000), Na at (0.250, 0.250, 0.250) and Cu at (0.250, 0.250, 0.750).

As for the relative energy among the computed polymorphs: 0.49 eV per formula unit.